# NdDyTl (PBE, optimized geometry)
# Calculated formation energy = -76 kJ/mol of formula units
# Fermi-level density of states = 9.8 states/eV per cell
# ΔE to the lowest computed polymorph = 0.0 kJ/mol of formula units
# M_tot = 1.03 μB per formula unit
data_NdDyTl
_chemical_formula_sum 'Nd4 Dy4 Tl4'
_cell_length_a 8.277
_cell_length_b 4.758
_cell_length_c 9.542
_cell_angle_alpha 90.00
_cell_angle_beta 90.00
_cell_angle_gamma 90.00
_symmetry_space_group_name_H-M 'P n m a'
_symmetry_Int_Tables_number 62
loop_
_symmetry_equiv_pos_as_xyz
'x,y,z'
'-x,-y,-z'
'-x+1/2,-y,z+1/2'
'x+1/2,y,-z+1/2'
'x+1/2,-y+1/2,-z+1/2'
'-x+1/2,y+1/2,z+1/2'
'-x,y+1/2,-z'
'x,-y+1/2,z'
loop_
_atom_site_label
_atom_site_type_symbol
_atom_site_fract_x
_atom_site_fract_y
_atom_site_fract_z
Nd1 Nd 0.029 0.250 0.169
Dy1 Dy 0.141 0.250 0.570
Tl1 Tl 0.239 0.750 0.374